No. 1
## KTl3As (PBE)

Data for an optimized crystal structure of KTl3As.

Summary:
ΔE to the lowest computed polymorph (meV/atom): 15
DFT formation energy (kJ/mol of formula units): -64

Cell lengths 11.0279, 4.3176, 13.9314 Å; angles 90.00, 90.00, 90.00 degrees
Fractional coordinates of all 20 atoms:
1 K 0.2081 0.2500 0.0070
2 K 0.2919 0.7500 0.5070
3 K 0.7081 0.2500 0.4930
4 K 0.7919 0.7500 0.9930
5 Tl 0.0446 0.2500 0.3990
6 Tl 0.0606 0.7500 0.1890
7 Tl 0.1819 0.7500 0.7899
8 Tl 0.3181 0.2500 0.2899
9 Tl 0.4394 0.2500 0.6890
10 Tl 0.4554 0.7500 0.8990
11 Tl 0.5446 0.2500 0.1010
12 Tl 0.5606 0.7500 0.3110
13 Tl 0.6819 0.7500 0.7101
14 Tl 0.8181 0.2500 0.2101
15 Tl 0.9394 0.2500 0.8110
16 Tl 0.9554 0.7500 0.6010
17 As 0.1347 0.2500 0.6499
18 As 0.3653 0.7500 0.1499
19 As 0.6347 0.2500 0.8501
20 As 0.8653 0.7500 0.3501

---

No. 2
## MgCuF2 (PBE)

Data for an optimized crystal structure of MgCuF2.

Summary:
ΔE_f (raw) (eV/f.u.): -8.77
ΔE to the lowest computed polymorph (meV/atom): 0

Cell lengths 2.9337, 2.9337, 25.4947 Å; angles 90.00, 90.00, 120.00 degrees
Fractional coordinates of all 12 atoms:
1 Mg 0.0000 0.0000 0.0000
2 Mg 0.3333 0.6667 0.6667
3 Mg 0.6667 0.3333 0.3333
4 Cu 0.0000 0.0000 0.5000
5 Cu 0.3333 0.6667 0.1667
6 Cu 0.6667 0.3333 0.8333
7 F 0.0000 0.0000 0.3728
8 F 0.0000 0.0000 0.6272
9 F 0.3333 0.6667 0.0395
10 F 0.3333 0.6667 0.2939
11 F 0.6667 0.3333 0.7061
12 F 0.6667 0.3333 0.9605

---

No. 3
## BaMo3Pt (PBE)

Data for an optimized crystal structure of BaMo3Pt.

Summary:
ΔE to the lowest computed polymorph (meV/atom): 1637
DFT formation energy (kJ/mol of formula units): 1489

Cell lengths 4.8660, 4.8660, 4.8660 Å; angles 90.00, 90.00, 90.00 degrees
Fractional coordinates of all 5 atoms:
1 Ba 0.0000 0.0000 0.0000
2 Mo 0.0000 0.0000 0.5000
3 Mo 0.0000 0.5000 0.0000
4 Mo 0.5000 0.0000 0.0000
5 Pt 0.5000 0.5000 0.5000

---

No. 4
## HoBeAl3 (PBE)

Data for an optimized crystal structure of HoBeAl3.

Summary:
DFT formation energy (kJ/mol of formula units): -145

Cell lengths 4.0344, 4.0344, 10.6992 Å; angles 90.00, 90.00, 90.00 degrees
Fractional coordinates of all 10 atoms:
1 Ho 0.0000 0.0000 0.0000
2 Ho 0.5000 0.5000 0.5000
3 Be 0.0000 0.0000 0.6085
4 Be 0.5000 0.5000 0.1085
5 Al 0.0000 0.0000 0.3951
6 Al 0.0000 0.5000 0.2337
7 Al 0.0000 0.5000 0.7337
8 Al 0.5000 0.0000 0.2337
9 Al 0.5000 0.0000 0.7337
10 Al 0.5000 0.5000 0.8951

---

No. 5
## Cs7K12P (PBE)

Data for an optimized crystal structure of Cs7K12P.

Summary:
DFT formation energy (kJ/mol of formula units): 51

Cell lengths 15.0826, 15.0826, 15.0826 Å; angles 116.59, 116.59, 116.59 degrees
Fractional coordinates of all 20 atoms:
1 Cs 0.0000 0.0000 0.0000
2 Cs 0.1936 0.4108 0.4112
3 Cs 0.4112 0.1936 0.4108
4 Cs 0.4108 0.4112 0.1936
5 Cs 0.5892 0.5888 0.8064
6 Cs 0.5888 0.8064 0.5892
7 Cs 0.8064 0.5892 0.5888
8 K 0.9999 0.4083 0.5919
9 K 0.0001 0.5917 0.4081
10 K 0.0219 0.3861 0.0226
11 K 0.0226 0.0219 0.3861
12 K 0.3861 0.0226 0.0219
13 K 0.4081 0.0001 0.5917
14 K 0.4083 0.5919 0.9999
15 K 0.5919 0.9999 0.4083
16 K 0.5917 0.4081 0.0001
17 K 0.6139 0.9774 0.9781
18 K 0.9774 0.9781 0.6139
19 K 0.9781 0.6139 0.9774
20 P 0.5000 0.5000 0.5000

---

No. 6
## Be2In2GaPd5 (PBE)

Data for an optimized crystal structure of Be2In2GaPd5.

Summary:
DFT formation energy (kJ/mol of formula units): -472

Cell lengths 9.5934, 9.5934, 3.2455 Å; angles 90.00, 90.00, 90.00 degrees
Fractional coordinates of all 20 atoms:
1 Be 0.1261 0.3739 0.0000
2 Be 0.3739 0.8739 0.0000
3 Be 0.6261 0.1261 0.0000
4 Be 0.8739 0.6261 0.0000
5 In 0.1718 0.6718 0.0000
6 In 0.3282 0.1718 0.0000
7 In 0.6718 0.8282 0.0000
8 In 0.8282 0.3282 0.0000
9 Ga 0.0000 0.0000 0.0000
10 Ga 0.5000 0.5000 0.0000
11 Pd 0.0000 0.5000 0.5000
12 Pd 0.0785 0.2028 0.5000
13 Pd 0.2028 0.9215 0.5000
14 Pd 0.2972 0.4215 0.5000
15 Pd 0.4215 0.7028 0.5000
16 Pd 0.5000 0.0000 0.5000
17 Pd 0.5785 0.2972 0.5000
18 Pd 0.7028 0.5785 0.5000
19 Pd 0.7972 0.0785 0.5000
20 Pd 0.9215 0.7972 0.5000

---

No. 7
## PmFeGe4 (PBE)

Data for an optimized crystal structure of PmFeGe4.

Summary:
DFT formation energy (kJ/mol of formula units): -154

Cell lengths 7.4029, 3.9287, 7.5810 Å; angles 90.00, 90.00, 90.00 degrees
Fractional coordinates of all 12 atoms:
1 Pm 0.2500 0.0000 0.1534
2 Pm 0.7500 0.0000 0.8466
3 Fe 0.2500 0.0000 0.7210
4 Fe 0.7500 0.0000 0.2790
5 Ge 0.0000 0.0000 0.5000
6 Ge 0.0781 0.5000 0.8427
7 Ge 0.2500 0.5000 0.4795
8 Ge 0.4219 0.5000 0.8427
9 Ge 0.5000 0.0000 0.5000
10 Ge 0.5781 0.5000 0.1573
11 Ge 0.7500 0.5000 0.5205
12 Ge 0.9219 0.5000 0.1573

---

No. 8
## CsSI2F (PBE)

Data for an optimized crystal structure of CsSI2F.

Summary:
ΔE_f (raw) (eV/f.u.): -2.16

Cell lengths 6.9626, 6.9626, 3.7187 Å; angles 90.00, 90.00, 90.00 degrees
Fractional coordinates of all 5 atoms:
1 Cs 0.0000 0.0000 0.0000
2 S 0.5000 0.5000 0.0000
3 I 0.0000 0.5000 0.5000
4 I 0.5000 0.0000 0.5000
5 F 0.5000 0.5000 0.5000

---

No. 9
## Tb2Zn2GeRh5 (PBE)

Data for an optimized crystal structure of Tb2Zn2GeRh5.

Summary:
DFT formation energy (kJ/mol of formula units): -603

Cell lengths 9.7367, 9.7367, 3.5176 Å; angles 90.00, 90.00, 90.00 degrees
Fractional coordinates of all 20 atoms:
1 Tb 0.1723 0.3277 0.0000
2 Tb 0.3277 0.8277 0.0000
3 Tb 0.6723 0.1723 0.0000
4 Tb 0.8277 0.6723 0.0000
5 Zn 0.1276 0.6276 0.0000
6 Zn 0.3724 0.1276 0.0000
7 Zn 0.6276 0.8724 0.0000
8 Zn 0.8724 0.3724 0.0000
9 Ge 0.0000 0.0000 0.0000
10 Ge 0.5000 0.5000 0.0000
11 Rh 0.0000 0.5000 0.5000
12 Rh 0.0625 0.8025 0.5000
13 Rh 0.1975 0.0625 0.5000
14 Rh 0.3025 0.5625 0.5000
15 Rh 0.4375 0.3025 0.5000
16 Rh 0.5000 0.0000 0.5000
17 Rh 0.5625 0.6975 0.5000
18 Rh 0.6975 0.4375 0.5000
19 Rh 0.8025 0.9375 0.5000
20 Rh 0.9375 0.1975 0.5000

---

No. 10
## Si2AgRhS (PBE)

Data for an optimized crystal structure of Si2AgRhS.

Summary:
ΔE_f (raw) (eV/f.u.): 6.53

Cell lengths 4.6860, 4.6860, 4.8384 Å; angles 90.00, 90.00, 90.00 degrees
Fractional coordinates of all 5 atoms:
1 Si 0.0000 0.5000 0.0000
2 Si 0.5000 0.0000 0.0000
3 Ag 0.0000 0.0000 0.0000
4 Rh 0.5000 0.5000 0.5000
5 S 0.0000 0.0000 0.5000

---

No. 11
## KSi3Se (PBE)

Data for an optimized crystal structure of KSi3Se.

Summary:
ΔE_f (raw) (eV/f.u.): 4.13
ΔE to the lowest computed polymorph (meV/atom): 0

Cell lengths 5.1716, 5.1716, 5.1716 Å; angles 90.00, 90.00, 90.00 degrees
Fractional coordinates of all 5 atoms:
1 K 0.0000 0.0000 0.0000
2 Si 0.0000 0.5000 0.5000
3 Si 0.5000 0.0000 0.5000
4 Si 0.5000 0.5000 0.0000
5 Se 0.5000 0.5000 0.5000

---

No. 12
## GaPdRh (PBE)

Data for an optimized crystal structure of GaPdRh.

Summary:
ΔE to the lowest computed polymorph (meV/atom): 275
DFT formation energy (kJ/mol of formula units): -54

Cell lengths 4.1638, 2.8036, 4.6409 Å; angles 90.00, 104.94, 90.00 degrees
Fractional coordinates of all 3 atoms:
1 Ga 0.0000 0.0000 0.0000
2 Pd 0.5000 0.0000 0.5000
3 Rh 0.5000 0.5000 0.0000

---

What did the sixth record say?
## Be2In2GaPd5 (PBE)

Data for an optimized crystal structure of Be2In2GaPd5.

Summary:
DFT formation energy (kJ/mol of formula units): -472

Cell lengths 9.5934, 9.5934, 3.2455 Å; angles 90.00, 90.00, 90.00 degrees
Fractional coordinates of all 20 atoms:
1 Be 0.1261 0.3739 0.0000
2 Be 0.3739 0.8739 0.0000
3 Be 0.6261 0.1261 0.0000
4 Be 0.8739 0.6261 0.0000
5 In 0.1718 0.6718 0.0000
6 In 0.3282 0.1718 0.0000
7 In 0.6718 0.8282 0.0000
8 In 0.8282 0.3282 0.0000
9 Ga 0.0000 0.0000 0.0000
10 Ga 0.5000 0.5000 0.0000
11 Pd 0.0000 0.5000 0.5000
12 Pd 0.0785 0.2028 0.5000
13 Pd 0.2028 0.9215 0.5000
14 Pd 0.2972 0.4215 0.5000
15 Pd 0.4215 0.7028 0.5000
16 Pd 0.5000 0.0000 0.5000
17 Pd 0.5785 0.2972 0.5000
18 Pd 0.7028 0.5785 0.5000
19 Pd 0.7972 0.0785 0.5000
20 Pd 0.9215 0.7972 0.5000